1.
Below is crystalline KCu2As at its relaxed geometry, with properties calculated at the PBE level.

Summary:
The value obtained for the energy of formation is -0.121 eV per atom. As for the density of states at the Fermi level: 0.000 states/eV per cell. The calculation puts the total magnetization at 0.00 μB/f.u.

abc: 8.447 8.447 8.447
angles: 143.61 143.61 52.41
Sites, in units of the cell vectors:
K 0.375 0.625 0.750
K 0.625 0.375 0.250
Cu 0.000 0.000 0.000
Cu 0.000 0.000 0.500
Cu 0.000 0.500 0.000
Cu 0.500 0.000 0.500
As 0.125 0.875 0.250
As 0.875 0.125 0.750


2.
Below is crystalline K2CuAs at its relaxed geometry, with properties calculated at the PBE level.

Summary:
The value obtained for the energy of formation is 0.175 eV per atom. As for the density of states at the Fermi level: 0.478 states/eV per cell. The calculation puts the total magnetization at 0.00 μB/f.u.

abc: 5.721 5.721 3.703
angles: 90.00 90.00 115.96
Sites, in units of the cell vectors:
K 0.000 0.500 0.000
K 0.500 0.000 0.000
Cu 0.000 0.000 0.500
As 0.500 0.500 0.500


3.
Below is crystalline KCuAs2 at its relaxed geometry, with properties calculated at the PBE level.

Summary:
The value obtained for the energy of formation is -0.083 eV per atom. As for the density of states at the Fermi level: 3.472 states/eV per cell. As for the excess energy over the best structure of this formula in the dataset: 0.22 eV/f.u. The calculation puts the total magnetization at 0.00 μB/f.u.

abc: 8.965 8.965 8.965
angles: 146.13 146.13 48.65
Sites, in units of the cell vectors:
K 0.375 0.625 0.750
K 0.625 0.375 0.250
Cu 0.125 0.875 0.250
Cu 0.875 0.125 0.750
As 0.000 0.000 0.000
As 0.000 0.000 0.500
As 0.000 0.500 0.000
As 0.500 0.000 0.500


4.
Below is crystalline KCu2As at its relaxed geometry, with properties calculated at the PBE level.

Summary:
The value obtained for the energy of formation is -0.149 eV per atom. As for the density of states at the Fermi level: 0.985 states/eV per cell. The calculation puts the total magnetization at 0.00 μB/f.u.

abc: 4.273 4.273 6.417
angles: 109.72 109.72 60.03
Sites, in units of the cell vectors:
K 0.000 0.000 0.000
Cu 0.179 0.179 0.538
Cu 0.503 0.503 0.510
As 0.811 0.811 0.434


5.
Below is crystalline K2CuAs at its relaxed geometry, with properties calculated at the PBE level.

Summary:
The value obtained for the energy of formation is 0.197 eV per atom. As for the density of states at the Fermi level: 0.951 states/eV per cell. The calculation puts the total magnetization at 0.00 μB/f.u.

abc: 3.633 4.934 6.040
angles: 90.00 90.00 90.00
Sites, in units of the cell vectors:
K 0.000 0.000 0.245
K 0.000 0.000 0.755
Cu 0.500 0.500 0.500
As 0.500 0.500 0.000


6.
Below is crystalline KCu2As at its relaxed geometry, with properties calculated at the PBE level.

Summary:
The value obtained for the energy of formation is 0.480 eV per atom. As for the density of states at the Fermi level: 0.900 states/eV per cell. The calculation puts the total magnetization at 0.00 μB/f.u.

abc: 5.536 2.756 5.679
angles: 90.00 118.99 90.00
Sites, in units of the cell vectors:
K 0.000 0.000 0.000
Cu 0.500 0.000 0.500
Cu 0.500 0.500 0.000
As 0.000 0.500 0.500


7.
Below is crystalline KCuAs2 at its relaxed geometry, with properties calculated at the PBE level.

Summary:
The value obtained for the energy of formation is -0.060 eV per atom. As for the density of states at the Fermi level: 0.249 states/eV per cell. As for the excess energy over the best structure of this formula in the dataset: 0.31 eV/f.u. The calculation puts the total magnetization at 0.00 μB/f.u.

abc: 6.555 6.555 6.555
angles: 39.84 39.84 39.84
Sites, in units of the cell vectors:
K 0.000 0.000 0.000
Cu 0.821 0.821 0.821
As 0.191 0.191 0.191
As 0.474 0.474 0.474


8.
Below is crystalline K3CuAs at its relaxed geometry, with properties calculated at the PBE level.

Summary:
The value obtained for the energy of formation is 0.310 eV per atom. As for the density of states at the Fermi level: 2.962 states/eV per cell. As for the excess energy over the best structure of this formula in the dataset: 0.00 eV/f.u. The calculation puts the total magnetization at 1.00 μB/f.u.

abc: 5.961 5.961 5.961
angles: 90.00 90.00 90.00
Sites, in units of the cell vectors:
K 0.000 0.000 0.500
K 0.000 0.500 0.000
K 0.500 0.000 0.000
Cu 0.000 0.000 0.000
As 0.500 0.500 0.500


9.
Below is crystalline KCu2As at its relaxed geometry, with properties calculated at the PBE level.

Summary:
The value obtained for the energy of formation is 0.245 eV per atom. As for the density of states at the Fermi level: 0.781 states/eV per cell. The calculation puts the total magnetization at 0.00 μB/f.u.

abc: 5.222 5.222 5.222
angles: 132.68 111.28 87.66
Sites, in units of the cell vectors:
K 0.000 0.000 0.000
Cu 0.340 0.840 0.500
Cu 0.660 0.160 0.500
As 0.500 0.500 0.000


10.
Below is crystalline KCu3As at its relaxed geometry, with properties calculated at the PBE level.

Summary:
The value obtained for the energy of formation is 0.226 eV per atom. As for the density of states at the Fermi level: 2.569 states/eV per cell. As for the excess energy over the best structure of this formula in the dataset: 0.00 eV/f.u. The calculation puts the total magnetization at 0.00 μB/f.u.

abc: 4.751 4.751 4.751
angles: 90.00 90.00 90.00
Sites, in units of the cell vectors:
K 0.000 0.000 0.000
Cu 0.000 0.500 0.500
Cu 0.500 0.000 0.500
Cu 0.500 0.500 0.000
As 0.500 0.500 0.500


11.
Below is crystalline KCu2As2 at its relaxed geometry, with properties calculated at the PBE level.

Summary:
The value obtained for the energy of formation is 0.043 eV per atom. As for the density of states at the Fermi level: 1.673 states/eV per cell. The calculation puts the total magnetization at 0.00 μB/f.u.

abc: 8.038 8.038 2.891
angles: 90.00 90.00 90.00
Sites, in units of the cell vectors:
K 0.000 0.000 0.000
K 0.500 0.500 0.000
Cu 0.117 0.383 0.000
Cu 0.383 0.883 0.000
Cu 0.617 0.117 0.000
Cu 0.883 0.617 0.000
As 0.154 0.654 0.500
As 0.346 0.154 0.500
As 0.654 0.846 0.500
As 0.846 0.346 0.500


12.
Below is crystalline K2CuAs at its relaxed geometry, with properties calculated at the PBE level.

Summary:
The value obtained for the energy of formation is -0.241 eV per atom. As for the density of states at the Fermi level: 1.813 states/eV per cell. The calculation puts the total magnetization at 0.00 μB/f.u.

abc: 4.250 4.250 9.656
angles: 102.39 102.39 60.06
Sites, in units of the cell vectors:
K 0.000 0.000 0.000
K 0.160 0.160 0.493
Cu 0.748 0.748 0.247
As 0.414 0.414 0.246


13.
Below is crystalline KCuAs4 at its relaxed geometry, with properties calculated at the PBE level.

Summary:
The value obtained for the energy of formation is 0.247 eV per atom. As for the density of states at the Fermi level: 0.428 states/eV per cell. The calculation puts the total magnetization at 0.00 μB/f.u.

abc: 6.083 6.083 6.083
angles: 60.00 60.00 60.00
Sites, in units of the cell vectors:
K 0.000 0.000 0.000
Cu 0.750 0.750 0.750
As 0.397 0.397 0.397
As 0.397 0.397 0.809
As 0.397 0.809 0.397
As 0.809 0.397 0.397


14.
Below is crystalline KCuAs2 at its relaxed geometry, with properties calculated at the PBE level.

Summary:
The value obtained for the energy of formation is 0.225 eV per atom. As for the density of states at the Fermi level: 2.940 states/eV per cell. As for the excess energy over the best structure of this formula in the dataset: 1.45 eV/f.u. The calculation puts the total magnetization at 0.00 μB/f.u.

abc: 5.864 5.864 5.864
angles: 144.15 121.29 70.73
Sites, in units of the cell vectors:
K 0.000 0.000 0.000
Cu 0.676 0.176 0.500
As 0.313 0.813 0.500
As 0.499 0.499 0.000


15.
Below is crystalline K2CuAs at its relaxed geometry, with properties calculated at the PBE level.

Summary:
The value obtained for the energy of formation is 0.035 eV per atom. As for the density of states at the Fermi level: 1.627 states/eV per cell. The calculation puts the total magnetization at 0.00 μB/f.u.

abc: 3.745 3.745 9.873
angles: 90.00 90.00 103.49
Sites, in units of the cell vectors:
K 0.000 0.000 0.000
K 0.500 0.500 0.413
Cu 0.500 0.500 0.727
As 0.000 0.000 0.672


16.
Below is crystalline KCuAs2 at its relaxed geometry, with properties calculated at the PBE level.

Summary:
The value obtained for the energy of formation is -0.109 eV per atom. As for the density of states at the Fermi level: 1.480 states/eV per cell. As for the excess energy over the best structure of this formula in the dataset: 0.12 eV/f.u. The calculation puts the total magnetization at 0.00 μB/f.u.

abc: 4.897 4.897 6.137
angles: 105.83 105.83 48.62
Sites, in units of the cell vectors:
K 0.000 0.000 0.000
Cu 0.770 0.770 0.447
As 0.205 0.205 0.614
As 0.414 0.414 0.409


17.
Below is crystalline KCu2As at its relaxed geometry, with properties calculated at the PBE level.

Summary:
The value obtained for the energy of formation is 0.478 eV per atom. As for the density of states at the Fermi level: 0.936 states/eV per cell. The calculation puts the total magnetization at 0.00 μB/f.u.

abc: 5.755 5.755 2.771
angles: 103.79 103.79 113.66
Sites, in units of the cell vectors:
K 0.000 0.000 0.000
Cu 0.000 0.500 0.000
Cu 0.500 0.000 0.000
As 0.500 0.500 0.000


18.
Below is crystalline K2CuAs at its relaxed geometry, with properties calculated at the PBE level.

Summary:
The value obtained for the energy of formation is -0.357 eV per atom. The calculation puts the total magnetization at 0.00 μB/f.u.

abc: 6.342 6.342 5.944
angles: 90.00 90.00 73.80
Sites, in units of the cell vectors:
K 0.021 0.318 0.250
K 0.318 0.021 0.750
K 0.682 0.979 0.250
K 0.979 0.682 0.750
Cu 0.500 0.500 0.000
Cu 0.500 0.500 0.500
As 0.260 0.740 0.250
As 0.740 0.260 0.750


19.
Below is crystalline K2CuAs at its relaxed geometry, with properties calculated at the PBE level.

Summary:
The value obtained for the energy of formation is 0.065 eV per atom. As for the density of states at the Fermi level: 0.620 states/eV per cell. The calculation puts the total magnetization at 0.00 μB/f.u.

abc: 5.183 5.183 5.183
angles: 60.00 60.00 60.00
Sites, in units of the cell vectors:
K 0.000 0.000 0.000
K 0.250 0.250 0.250
Cu 0.750 0.750 0.750
As 0.500 0.500 0.500


20.
Below is crystalline K2CuAs at its relaxed geometry, with properties calculated at the PBE level.

Summary:
The value obtained for the energy of formation is 0.196 eV per atom. As for the density of states at the Fermi level: 2.350 states/eV per cell. The calculation puts the total magnetization at 0.00 μB/f.u.

abc: 6.167 6.167 2.982
angles: 90.00 90.00 90.00
Sites, in units of the cell vectors:
K 0.000 0.500 0.000
K 0.500 0.000 0.000
Cu 0.000 0.000 0.500
As 0.500 0.500 0.500